# LiLaCr2O8 | the Alexandria database | GGA+U | optimized geometry
data_LiLaCr2O8
_chemical_formula_sum 'Li3 La3 Cr6 O24'
_cell_length_a 4.9963
_cell_length_b 4.9963
_cell_length_c 20.8033
_cell_angle_alpha 90.00
_cell_angle_beta 90.00
_cell_angle_gamma 120.00
_space_group_name_H-M_alt 'R -3'
_space_group_IT_number 148
_space_group_name_Hall '-R 3'
loop_
_atom_site_label
_atom_site_type_symbol
_atom_site_fract_x
_atom_site_fract_y
_atom_site_fract_z
_atom_site_occupancy
Li1 Li 0.0000 0.0000 0.0000 1
La1 La 0.0000 0.0000 0.5000 1
Cr1 Cr 0.0000 0.0000 0.2498 1
O1 O 0.0000 0.0000 0.1689 1
O2 O 0.0005 0.3612 0.0633 1
# ρ = 4.185 g cm⁻³
# V = 12.5 Å³/atom

---

# LiLa2CrO6 | the Alexandria database | GGA+U | optimized geometry
data_LiLa2CrO6
_chemical_formula_sum 'Li2 La4 Cr2 O12'
_cell_length_a 5.529
_cell_length_b 5.664
_cell_length_c 9.456
_cell_angle_alpha 90.00
_cell_angle_beta 125.76
_cell_angle_gamma 90.00
_space_group_name_H-M_alt 'P 1 21/c 1'
_space_group_IT_number 14
loop_
_space_group_symop_operation_xyz
'x,y,z'
'-x,-y,-z'
'-x,y+1/2,-z+1/2'
'x,-y+1/2,z+1/2'
loop_
_atom_site_label
_atom_site_type_symbol
_atom_site_fract_x
_atom_site_fract_y
_atom_site_fract_z
_atom_site_occupancy
Li1 Li 0.000 0.000 0.000 1
La1 La 0.240 0.048 0.750 1
Cr1 Cr 0.500 0.000 0.500 1
O1 O 0.185 0.195 0.460 1
O2 O 0.262 0.723 0.458 1
O3 O 0.339 0.019 0.265 1
# ρ = 5.981 g cm⁻³
# V = 12.0 Å³/atom

---

# LiLa3Ti3CrO12 | the Alexandria database | GGA+U | optimized geometry
data_LiLa3Ti3CrO12
_chemical_formula_sum 'Li1 La3 Ti3 Cr1 O12'
_cell_length_a 5.509
_cell_length_b 5.564
_cell_length_c 7.856
_cell_angle_alpha 90.03
_cell_angle_beta 90.03
_cell_angle_gamma 90.05
_space_group_name_H-M_alt 'P 1'
_space_group_IT_number 1
loop_
_space_group_symop_operation_xyz
'x,y,z'
loop_
_atom_site_label
_atom_site_type_symbol
_atom_site_fract_x
_atom_site_fract_y
_atom_site_fract_z
_atom_site_occupancy
Li1 Li 0.000 0.000 0.000 1
La1 La 0.009 0.068 0.492 1
La2 La 0.505 0.628 0.000 1
La3 La 0.520 0.568 0.495 1
Ti1 Ti 0.015 0.593 0.751 1
Ti2 Ti 0.016 0.592 0.238 1
Ti3 Ti 0.515 0.100 0.758 1
Cr1 Cr 0.514 0.099 0.241 1
O1 O 0.081 0.619 0.496 1
O2 O 0.225 0.881 0.201 1
O3 O 0.234 0.881 0.788 1
O4 O 0.308 0.390 0.772 1
O5 O 0.308 0.397 0.222 1
O6 O 0.442 0.101 0.496 1
O7 O 0.604 0.087 0.993 1
O8 O 0.730 0.812 0.281 1
O9 O 0.733 0.817 0.710 1
O10 O 0.792 0.324 0.697 1
O11 O 0.795 0.325 0.293 1
O12 O 0.949 0.593 0.995 1
# ρ = 5.595 g cm⁻³
# V = 12.0 Å³/atom

---

no.,VASP energy (eV/atom),M_tot (μB per atom)
1,-6.901,0.000
2,-7.459,0.094
3,-8.402,0.108